Record 1
First-principles (PBE-GGA) data for a relaxed structure of Ca2AgPd2, as listed in the Alexandria database.

Results
- relative energy among the computed polymorphs (meV/atom) = 247
- ΔE_f (meV/atom) = -357
- VASP energy (eV per atom) = -3.8049

abc: 3.8210 3.8210 16.4781
angles: 90.00 90.00 90.00
Space group I4/mmm (No. 139)
Unique sites:
Ca: 0.0000 0.0000 0.1148
Ag: 0.0000 0.0000 0.5000
Pd: 0.0000 0.5000 0.2500

***

Record 2
First-principles (PBE-GGA) data for a relaxed structure of AlGa2Cl2, as listed in the Alexandria database.

Results
- relative energy among the computed polymorphs (meV/atom) = 60
- raw formation energy (meV/atom) = -197
- VASP energy (eV per atom) = -2.8948

abc: 7.8426 7.8426 4.2070
angles: 90.00 90.00 90.00
Space group P4/mbm (No. 127)
Unique sites:
Al: 0.0000 0.0000 0.0000
Ga: 0.1776 0.3224 0.5000
Cl: 0.1563 0.6563 0.0000

***

Record 3
First-principles (PBE-GGA) data for a relaxed structure of Sr2BeW, as listed in the Alexandria database.

Results
- ΔE_f (meV/atom) = 1340
- VASP energy (eV per atom) = -3.6711

abc: 4.7294 4.7294 8.8648
angles: 90.00 90.00 90.00
Space group I-4m2 (No. 119)
Unique sites:
Sr: 0.0000 0.0000 0.0000
Sr: 0.0000 0.5000 0.2500
Be: 0.0000 0.0000 0.5000
W: 0.0000 0.5000 0.7500

***

Number 2 is which compound?
AlGa2Cl2

***

What is the formula in the second record?
AlGa2Cl2

***

The lowest VASP energy belongs to which entry?
Ca2AgPd2

***

What is the VASP energy in the third record?
-3.6711 eV per atom